No. 1
Compound: NiH10C4S2N8
Source: OQMD
Functional: PBE-GGA
Structure: optimized geometry Values from VASP.

Properties
For the theoretical density, the calculation gives 2.10 Mg/m³. The calculation puts the volume at 9.3 Å³/atom. The raw total energy is -6.21 eV per atom.

Cell and atoms, written as Quantum ESPRESSO input:
```
&SYSTEM
  ibrav = 0, nat = 50, ntyp = 5
/
ATOMIC_SPECIES
N 14.01 N.upf
H 1.01 H.upf
C 12.01 C.upf
Ni 58.69 Ni.upf
S 32.06 S.upf
CELL_PARAMETERS angstrom
2.632 3.404 -6.510
5.453 -1.679 6.004
-1.968 -7.326 -4.627
ATOMIC_POSITIONS crystal
N 0.991 0.860 0.306
H 0.749 0.870 0.771
N 0.952 0.676 0.908
N 0.332 0.106 0.663
C 0.622 0.774 0.413
H 0.898 0.490 0.403
H 0.411 0.033 0.641
H 0.378 0.967 0.859
N 0.724 0.676 0.408
C 0.152 0.774 0.913
C 0.183 0.278 0.136
C 0.905 0.722 0.364
N 0.014 0.380 0.610
H 0.251 0.130 0.229
H 0.872 0.344 0.623
Ni 0.109 0.000 0.750
H 0.589 0.967 0.359
H 0.331 0.431 0.543
H 0.591 0.490 0.903
C 0.378 0.226 0.587
S 0.440 0.736 0.528
N 0.132 0.140 0.194
H 0.528 0.656 0.877
H 0.100 0.431 0.043
N 0.986 0.620 0.390
H 0.472 0.344 0.123
N 0.276 0.324 0.592
H 0.622 0.033 0.141
H 0.409 0.510 0.097
H 0.102 0.510 0.597
C 0.817 0.722 0.864
N 0.868 0.860 0.806
N 0.048 0.324 0.092
S 0.560 0.264 0.472
H 0.128 0.656 0.377
N 0.668 0.894 0.337
N 0.366 0.380 0.110
N 0.225 0.894 0.837
N 0.009 0.140 0.694
H 0.120 0.870 0.271
N 0.775 0.106 0.163
H 0.900 0.569 0.957
H 0.669 0.569 0.457
H 0.880 0.130 0.729
C 0.095 0.278 0.636
C 0.848 0.226 0.087
S 0.704 0.264 0.972
N 0.634 0.620 0.890
Ni 0.891 0.000 0.250
S 0.296 0.736 0.028
```

No. 2
Compound: NiH10C10S8N2
Source: OQMD
Functional: PBE-GGA
Structure: optimized geometry Values from VASP.

Properties
For the theoretical density, the calculation gives 1.92 Mg/m³. The calculation puts the volume at 13.2 Å³/atom. The raw total energy is -5.84 eV per atom.

Cell and atoms, written as Quantum ESPRESSO input:
```
&SYSTEM
  ibrav = 0, nat = 31, ntyp = 5
/
ATOMIC_SPECIES
C 12.01 C.upf
S 32.06 S.upf
N 14.01 N.upf
H 1.01 H.upf
Ni 58.69 Ni.upf
CELL_PARAMETERS angstrom
-2.824 -2.916 0.040
2.642 -2.426 -5.594
9.797 -7.911 8.568
ATOMIC_POSITIONS crystal
C 0.566 0.364 0.224
C 0.785 0.155 0.319
C 0.434 0.636 0.776
S 0.990 0.951 0.359
N 0.279 0.807 0.768
S 0.739 0.277 0.489
H 0.084 0.680 0.197
S 0.549 0.537 0.877
C 0.215 0.845 0.681
N 0.721 0.193 0.232
H 0.510 0.210 0.804
C 0.324 0.700 0.620
S 0.010 0.049 0.641
S 0.484 0.491 0.323
S 0.261 0.723 0.511
H 0.088 0.967 0.096
H 0.912 0.033 0.904
S 0.516 0.509 0.677
H 0.996 0.740 0.033
C 0.294 0.706 0.156
C 0.706 0.294 0.844
H 0.490 0.790 0.196
C 0.188 0.823 0.075
Ni 0.000 0.000 0.500
H 0.397 0.854 0.035
C 0.812 0.177 0.925
H 0.603 0.146 0.965
H 0.916 0.320 0.803
C 0.676 0.300 0.380
S 0.451 0.463 0.123
H 0.004 0.260 0.967
```

Question: Which of these has the highest raw total energy?
Answer: NiH10C10S8N2

Question: Which value of raw total energy does entry 1 give?
Answer: -6.21 eV per atom